Density functional theory data (GGA-PBEsol) for crystalline CeB4Ir2Os2 at its relaxed geometry.

Computed properties:
Total energy (eV for the cell shown): -166.35
Space group: P4_2, No. 77

abc: 3.983 7.549 7.549
angles: 90.00 90.00 90.00
Sites, in units of the cell vectors:
Os 0.861 0.110 0.855
Ce 0.745 0.500 0.000
B 0.141 0.661 0.722
B 0.641 0.722 0.339
Ir 0.637 0.343 0.390
B 0.364 0.783 0.160
B 0.864 0.160 0.217
Os 0.861 0.890 0.145
B 0.141 0.339 0.278
Os 0.361 0.145 0.110
Ir 0.637 0.657 0.610
B 0.864 0.840 0.783
Ir 0.137 0.610 0.343
Os 0.361 0.855 0.890
B 0.641 0.278 0.661
B 0.364 0.217 0.840
Ce 0.245 0.000 0.500
Ir 0.137 0.390 0.657

Density functional theory data (GGA-PBEsol) for crystalline RbTe2Os at its relaxed geometry.

Computed properties:
Total energy (eV for the cell shown): -19.94
Space group: R-3m, No. 166

abc: 4.018 4.018 9.903
angles: 78.30 78.30 60.00
Sites, in units of the cell vectors:
Te 0.121 0.121 0.637
Os 0.500 0.500 0.500
Rb 0.000 0.000 0.000
Te 0.879 0.879 0.363

Density functional theory data (GGA-PBEsol) for crystalline Ir3PdRu at its relaxed geometry.

Computed properties:
Total energy (eV for the cell shown): -35.36
Space group: Pm-3m, No. 221

abc: 4.581 4.581 4.581
angles: 90.00 90.00 90.00
Sites, in units of the cell vectors:
Ir 0.000 0.000 0.500
Ir 0.000 0.500 0.000
Pd 0.500 0.500 0.500
Ru 0.000 0.000 0.000
Ir 0.500 0.000 0.000

Density functional theory data (GGA-PBEsol) for crystalline YTi3Sn at its relaxed geometry.

Computed properties:
Total energy (eV for the cell shown): -32.20
Space group: Pm-3m, No. 221

abc: 5.026 5.026 5.026
angles: 90.00 90.00 90.00
Sites, in units of the cell vectors:
Y 0.500 0.500 0.500
Ti 0.000 0.000 0.500
Ti 0.000 0.500 0.000
Sn 0.000 0.000 0.000
Ti 0.500 0.000 0.000

Density functional theory data (GGA-PBEsol) for crystalline Na2BeGa at its relaxed geometry.

Computed properties:
Total energy (eV for the cell shown): -17.46
Space group: I-42d, No. 122

abc: 4.239 7.696 7.696
angles: 85.65 74.01 74.01
Sites, in units of the cell vectors:
Ga 0.750 0.500 0.500
Be 0.250 0.500 0.500
Be 0.500 0.000 0.000
Na 0.452 0.173 0.673
Na 0.298 0.827 0.327
Ga 0.000 0.000 0.000
Na 0.875 0.673 0.827
Na 0.375 0.327 0.173

Density functional theory data (GGA-PBEsol) for crystalline KCaNi at its relaxed geometry.

Computed properties:
Total energy (eV for the cell shown): -7.71
Space group: F-43m, No. 216

abc: 5.021 5.021 5.021
angles: 60.00 60.00 60.00
Sites, in units of the cell vectors:
K 0.500 0.500 0.500
Ca 0.000 0.000 0.000
Ni 0.250 0.250 0.250

Density functional theory data (GGA-PBEsol) for crystalline Y2BeNbIn at its relaxed geometry.

Computed properties:
Total energy (eV for the cell shown): -26.34
Space group: P4/mmm, No. 123

abc: 4.279 5.598 5.598
angles: 90.00 90.00 90.00
Sites, in units of the cell vectors:
Y 0.000 0.000 0.500
Be 0.500 0.000 0.000
In 0.000 0.000 0.000
Y 0.000 0.500 0.000
Nb 0.500 0.500 0.500

Density functional theory data (GGA-PBEsol) for crystalline SrAgIr2 at its relaxed geometry.

Computed properties:
Total energy (eV for the cell shown): -23.92
Space group: Pmm2, No. 25

abc: 2.856 3.824 7.065
angles: 90.00 90.00 90.00
Sites, in units of the cell vectors:
Ir 0.000 0.000 0.042
Ir 0.500 0.500 0.178
Sr 0.000 0.000 0.484
Ag 0.500 0.500 0.796

Density functional theory data (GGA-PBEsol) for crystalline Sn2OsAu at its relaxed geometry.

Computed properties:
Total energy (eV for the cell shown): -22.86
Space group: Fm-3m, No. 225

abc: 4.713 4.713 4.713
angles: 60.00 60.00 60.00
Sites, in units of the cell vectors:
Os 0.000 0.000 0.000
Au 0.500 0.500 0.500
Sn 0.750 0.750 0.750
Sn 0.250 0.250 0.250

Density functional theory data (GGA-PBEsol) for crystalline BeRuPt2 at its relaxed geometry.

Computed properties:
Total energy (eV for the cell shown): -28.61
Space group: Pmmm, No. 47

abc: 2.698 3.721 5.273
angles: 90.00 90.00 90.00
Sites, in units of the cell vectors:
Be 0.500 0.500 0.500
Pt 0.000 0.000 0.255
Ru 0.500 0.500 0.000
Pt 0.000 0.000 0.745

Density functional theory data (GGA-PBEsol) for crystalline KZr2Cu at its relaxed geometry.

Computed properties:
Total energy (eV for the cell shown): -22.57
Space group: P4mm, No. 99

abc: 3.252 3.252 9.420
angles: 90.00 90.00 90.00
Sites, in units of the cell vectors:
Cu 0.000 0.000 0.437
Zr 0.500 0.500 0.286
Zr 0.000 0.000 0.072
K 0.500 0.500 0.705

Density functional theory data (GGA-PBEsol) for crystalline Ho6Al7Cu16 at its relaxed geometry.

Computed properties:
Total energy (eV for the cell shown): -138.83
Space group: Fm-3m, No. 225

abc: 8.569 8.569 8.569
angles: 60.00 60.00 60.00
Sites, in units of the cell vectors:
Cu 0.674 0.674 0.979
Al 0.500 0.000 0.500
Cu 0.326 0.326 0.021
Ho 0.288 0.712 0.288
Cu 0.326 0.021 0.326
Al 0.500 0.500 0.000
Ho 0.712 0.712 0.288
Al 0.000 0.000 0.000
Cu 0.878 0.878 0.365
Cu 0.635 0.122 0.122
Al 0.000 0.000 0.500
Cu 0.674 0.979 0.674
Cu 0.122 0.122 0.635
Cu 0.674 0.674 0.674
Ho 0.288 0.288 0.712
Ho 0.712 0.288 0.288
Cu 0.979 0.674 0.674
Cu 0.122 0.635 0.122
Ho 0.712 0.288 0.712
Cu 0.021 0.326 0.326
Cu 0.878 0.365 0.878
Cu 0.365 0.878 0.878
Al 0.500 0.000 0.000
Al 0.000 0.500 0.500
Ho 0.288 0.712 0.712
Cu 0.326 0.326 0.326
Cu 0.878 0.878 0.878
Al 0.000 0.500 0.000
Cu 0.122 0.122 0.122

Density functional theory data (GGA-PBEsol) for crystalline CoTc2NiRu at its relaxed geometry.

Computed properties:
Total energy (eV for the cell shown): -36.59
Space group: P4/mmm, No. 123

abc: 4.343 4.491 4.491
angles: 90.00 90.00 90.00
Sites, in units of the cell vectors:
Ru 0.000 0.000 0.000
Tc 0.000 0.500 0.000
Ni 0.500 0.500 0.500
Co 0.500 0.000 0.000
Tc 0.000 0.000 0.500

Density functional theory data (GGA-PBEsol) for crystalline Rb2MgTl at its relaxed geometry.

Computed properties:
Total energy (eV for the cell shown): -5.48
Space group: Fm-3m, No. 225

abc: 6.258 6.258 6.258
angles: 60.00 60.00 60.00
Sites, in units of the cell vectors:
Rb 0.250 0.250 0.250
Mg 0.000 0.000 0.000
Tl 0.500 0.500 0.500
Rb 0.750 0.750 0.750

Density functional theory data (GGA-PBEsol) for crystalline La5CuBi3 at its relaxed geometry.

Computed properties:
Total energy (eV for the cell shown): -101.71
Space group: P6_3/mcm, No. 193

abc: 6.609 9.709 9.709
angles: 120.00 90.00 90.00
Sites, in units of the cell vectors:
La 0.500 0.333 0.667
Bi 0.250 0.000 0.617
La 0.000 0.333 0.667
Cu 0.000 0.000 0.000
Bi 0.750 0.383 0.000
La 0.250 0.000 0.258
La 0.250 0.258 0.000
Bi 0.750 0.617 0.617
La 0.000 0.667 0.333
Bi 0.250 0.383 0.383
La 0.750 0.742 0.000
La 0.750 0.258 0.258
La 0.500 0.667 0.333
Cu 0.500 0.000 0.000
La 0.250 0.742 0.742
La 0.750 0.000 0.742
Bi 0.250 0.617 0.000
Bi 0.750 0.000 0.383

Density functional theory data (GGA-PBEsol) for crystalline Sc2AlIr at its relaxed geometry.

Computed properties:
Total energy (eV for the cell shown): -30.06
Space group: P4/mmm, No. 123

abc: 3.372 4.519 4.518
angles: 90.00 90.00 90.00
Sites, in units of the cell vectors:
Sc 0.000 0.000 0.125
Al 0.500 0.000 0.625
Ir 0.500 0.500 0.125
Sc 0.000 0.500 0.625

Density functional theory data (GGA-PBEsol) for crystalline LaCoB5O10 at its relaxed geometry.

Computed properties:
Total energy (eV for the cell shown): -569.38
Space group: P2_1/c, No. 14

abc: 7.587 8.775 9.477
angles: 92.84 90.00 90.00
Sites, in units of the cell vectors:
O 0.874 0.306 0.992
O 0.035 0.313 0.639
B 0.964 0.784 0.050
O 0.655 0.188 0.626
O 0.391 0.671 0.587
B 0.173 0.015 0.111
O 0.082 0.515 0.186
O 0.626 0.806 0.492
O 0.345 0.812 0.374
B 0.536 0.284 0.550
O 0.519 0.583 0.357
La 0.815 0.178 0.235
O 0.462 0.772 0.887
La 0.315 0.322 0.265
B 0.464 0.716 0.450
O 0.845 0.688 0.126
O 0.348 0.506 0.063
B 0.827 0.985 0.889
O 0.722 0.978 0.756
B 0.408 0.848 0.007
B 0.327 0.515 0.611
B 0.685 0.926 0.418
La 0.185 0.822 0.765
O 0.465 0.813 0.139
O 0.374 0.194 0.508
O 0.962 0.728 0.613
O 0.778 0.478 0.256
O 0.278 0.022 0.244
O 0.782 0.539 0.508
O 0.019 0.917 0.143
O 0.282 0.961 0.992
O 0.418 0.015 0.686
B 0.315 0.074 0.582
B 0.418 0.908 0.268
O 0.718 0.039 0.008
O 0.218 0.461 0.492
B 0.592 0.152 0.993
O 0.848 0.994 0.437
B 0.185 0.574 0.082
B 0.082 0.408 0.768
B 0.918 0.592 0.232
B 0.092 0.348 0.507
O 0.152 0.006 0.563
O 0.222 0.522 0.744
O 0.109 0.171 0.087
O 0.891 0.829 0.913
O 0.652 0.494 0.937
O 0.155 0.312 0.874
O 0.481 0.417 0.643
B 0.908 0.652 0.493
O 0.918 0.485 0.814
Co 0.911 0.099 0.625
O 0.038 0.272 0.387
Co 0.089 0.901 0.375
Co 0.411 0.401 0.875
O 0.609 0.329 0.413
O 0.538 0.228 0.113
O 0.965 0.687 0.361
O 0.981 0.083 0.857
O 0.582 0.985 0.314
O 0.535 0.187 0.861
O 0.126 0.694 0.008
Co 0.589 0.599 0.125
B 0.673 0.485 0.389
La 0.685 0.678 0.735
B 0.815 0.426 0.918
B 0.036 0.216 0.950
B 0.582 0.092 0.732

Density functional theory data (GGA-PBEsol) for crystalline CaSc3Si at its relaxed geometry.

Computed properties:
Total energy (eV for the cell shown): -27.92
Space group: Pm-3m, No. 221

abc: 5.141 5.141 5.141
angles: 90.00 90.00 90.00
Sites, in units of the cell vectors:
Sc 0.000 0.000 0.500
Sc 0.500 0.000 0.000
Sc 0.000 0.500 0.000
Si 0.000 0.000 0.000
Ca 0.500 0.500 0.500

Density functional theory data (GGA-PBEsol) for crystalline MnMoAu2 at its relaxed geometry.

Computed properties:
Total energy (eV for the cell shown): -28.38
Space group: Imm2, No. 44

abc: 3.934 3.945 4.810
angles: 114.21 114.14 90.00
Sites, in units of the cell vectors:
Mo 0.249 0.749 0.499
Mn 0.500 0.500 0.001
Au 0.750 0.250 0.500
Au 0.000 0.000 0.000

Density functional theory data (GGA-PBEsol) for crystalline DyEr at its relaxed geometry.

Computed properties:
Total energy (eV for the cell shown): -9.88
Space group: P-6m2, No. 187

abc: 3.515 3.515 5.491
angles: 90.00 90.00 120.00
Sites, in units of the cell vectors:
Dy 0.333 0.667 0.500
Er 0.667 0.333 0.000

Calculated volume: 12.6 33.6 19.2 25.4 29.0 29.8 26.8 19.3 18.5 13.2 24.9 15.3 17.5 43.3 30.0 17.2 9.3 27.2 15.2 29.4 (Å³/atom)